DFT (PBE-GGA) results for an optimized crystal structure of TbSm2ScTe5.

Unit cell a=5.5855 b=5.5855 c=11.1296 alpha=90.00 beta=90.00 gamma=90.00
Positions (direct):
Tb 0.0000 0.0000 0.0000
Sm 0.5000 0.5000 0.1691
Sm 0.5000 0.5000 0.8309
Sc 0.0000 0.0000 0.5000
Te 0.0000 0.0000 0.2623
Te 0.0000 0.0000 0.7377
Te 0.0000 0.5000 0.0000
Te 0.5000 0.0000 0.0000
Te 0.5000 0.5000 0.5000

Computed properties:
Size of the total moment: 0.1081 μB per atom
Symmetry: P4/mmm, No. 123
Formation energy (no corrections): -594 kJ/mol of formula units
Crystal system: tetragonal